## ZrCdSi (GGA-PBE)

Data for crystalline ZrCdSi at its relaxed geometry.

Computed properties:
- Calculated volume: 23.13 A^3/atom
- SG: F-43m, No. 216
- Total moment: 0.00 μB/atom
- Formation energy without anion corrections: 0.211 eV/atom
- Density: 5.55 g/cm³

a b c (Å): 4.6125 4.6125 4.6125
angles (deg): 60.00 60.00 60.00
Element x y z (fractional)
Zr 0.7500 0.7500 0.7500
Si 0.5000 0.5000 0.5000
Cd 0.0000 0.0000 0.0000

## TiNbTc (GGA-PBE)

Data for crystalline TiNbTc at its relaxed geometry.

Computed properties:
- Calculated volume: 16.25 A^3/atom
- SG: Cmcm, No. 63
- Energy of formation from the pure elements: -33.2 kJ/mol of atoms
- Total moment: 0.00 μB/atom
- Density: 8.13 g/cm³
- Energy relative to the lowest polymorph listed for this composition: 0.0 meV/atom

a b c (Å): 4.4711 9.7672 4.4660
angles (deg): 90.00 90.00 90.00
Element x y z (fractional)
Nb 0.0000 0.5925 0.2500
Tc 0.0000 0.2500 0.2500
Ti 0.0000 0.9074 0.2500
Tc 0.0000 0.7500 0.7500
Ti 0.0000 0.0926 0.7500
Nb 0.0000 0.4075 0.7500
Ti 0.5000 0.5926 0.7500
Tc 0.5000 0.7500 0.2500
Tc 0.5000 0.2500 0.7500
Nb 0.5000 0.0925 0.2500
Nb 0.5000 0.9075 0.7500
Ti 0.5000 0.4074 0.2500

## Mn2InIr (GGA-PBE)

Data for crystalline Mn2InIr at its relaxed geometry.

Computed properties:
- Calculated volume: 16.30 A^3/atom
- SG: R-3m, No. 166
- Energy of formation from the pure elements: 23.3 kJ/mol of atoms
- Total moment: 1.79 μB/atom
- Density: 10.62 g/cm³

a b c (Å): 8.8492 8.8492 8.8492
angles (deg): 19.15 19.15 19.15
Last column: magnetic moment on the atom in μB.
Element x y z (fractional)
Mn 0.0067 0.0067 0.0067  3.39
In 0.2500 0.2500 0.2500  -0.12
Ir 0.7500 0.7500 0.7500  0.24
Mn 0.4933 0.4933 0.4933  3.39

## Nb2Ni4Pt (GGA-PBE)

Data for crystalline Nb2Ni4Pt at its relaxed geometry.

Computed properties:
- Calculated volume: 14.67 A^3/atom
- SG: Cm, No. 8
- Energy of formation from the pure elements: -2.7 kJ/mol of atoms
- Total moment: 0.00 μB/atom
- Density: 9.96 g/cm³
- Energy relative to the lowest polymorph listed for this composition: 0.0 meV/atom

a b c (Å): 5.8280 5.8280 5.0923
angles (deg): 122.64 126.16 90.76
Element x y z (fractional)
Nb 0.3081 0.8295 0.5575
Ni 0.7943 0.3566 0.1508
Ni 0.7330 0.7325 0.0432
Ni 0.3107 0.3102 0.0432
Nb 0.7280 0.2494 0.5575
Ni 0.2798 0.6693 0.9491
Pt 0.8462 0.8526 0.6987

## K2LiTa (GGA-PBE)

Data for crystalline K2LiTa at its relaxed geometry.

Computed properties:
- Calculated volume: 30.28 A^3/atom
- SG: Cmm2, No. 35
- Energy of formation from the pure elements: 90.4 kJ/mol of atoms
- Total moment: 0.00 μB/atom
- Density: 3.65 g/cm³
- Energy relative to the lowest polymorph listed for this composition: 0.0 meV/atom

a b c (Å): 3.1779 3.1779 11.9929
angles (deg): 90.00 90.00 90.19
Element x y z (fractional)
K 0.0000 0.0000 0.9508
K 0.5000 0.5000 0.3014
Ta 0.5000 0.5000 0.7007
Li 0.0000 0.0000 0.5472

## PrZn3Au3 (GGA-PBE)

Data for crystalline PrZn3Au3 at its relaxed geometry.

Computed properties:
- Calculated volume: 20.10 A^3/atom
- SG: R-3, No. 148
- Energy of formation from the pure elements: -34.8 kJ/mol of atoms
- Total moment: 0.00 μB/atom
- Density: 10.95 g/cm³
- Energy relative to the lowest polymorph listed for this composition: 0.0 meV/atom

a b c (Å): 7.1222 7.1222 7.6111
angles (deg): 62.10 62.10 60.00
Element x y z (fractional)
Au 0.1655 0.6925 0.2151
Zn 0.7255 0.1073 0.6214
Zn 0.8927 0.4543 0.3786
Zn 0.5457 0.7255 0.6214
Zn 0.4543 0.2745 0.3786
Au 0.0731 0.8345 0.7849
Pr 0.6606 0.6606 0.0182
Au 0.3075 0.0731 0.7849
Au 0.6925 0.9269 0.2151
Zn 0.2745 0.8927 0.3786
Zn 0.1073 0.5457 0.6214
Au 0.8345 0.3075 0.7849
Pr 0.3394 0.3394 0.9818
Au 0.9269 0.1655 0.2151

## SmYZnSn (GGA-PBE)

Data for crystalline SmYZnSn at its relaxed geometry.

Computed properties:
- Calculated volume: 25.43 A^3/atom
- SG: F-43m, No. 216
- Energy of formation from the pure elements: -50.4 kJ/mol of atoms
- Total moment: 0.00 μB/atom
- Density: 6.91 g/cm³

a b c (Å): 5.2400 5.2400 5.2400
angles (deg): 60.00 60.00 60.00
Element x y z (fractional)
Y 0.7500 0.7500 0.7500
Sm 0.2500 0.2500 0.2500
Sn 0.0000 0.0000 0.0000
Zn 0.5000 0.5000 0.5000